# VZnO2 | Alexandria via LeMat-Bulk | GGA+U | relaxed
# E   -6.1520 eV per atom
# DOS(E_F)   0.11 states/eV/atom
data_VZnO2
_chemical_formula_sum 'V2 Zn2 O4'
_cell_length_a 3.047
_cell_length_b 5.685
_cell_length_c 6.105
_cell_angle_alpha 106.14
_cell_angle_beta 90.00
_cell_angle_gamma 90.00
_space_group_name_H-M_alt 'P 1'
_space_group_IT_number 1
loop_
_space_group_symop_operation_xyz
'x,y,z'
loop_
_atom_site_label
_atom_site_fract_x
_atom_site_fract_y
_atom_site_fract_z
O1 0.750 0.849 0.334
Zn1 0.250 0.172 0.000
O2 0.250 0.376 0.325
V1 0.750 0.253 0.495
V2 0.250 0.747 0.505
Zn2 0.750 0.828 0.000
O3 0.250 0.151 0.666
O4 0.750 0.624 0.675